(1)
Computed, not measured: PuMn2CuO6 after structural relaxation at the GGA+U level of DFT.

Values from the calculation:
As for the symmetry: C2/m, No. 12. As for the uncorrected energy: -8.118 eV/atom.

a = 5.154 Å, b = 5.564 Å, c = 6.236 Å
α = 116.50°, β = 119.26°, γ = 90.00°
Last column: magnetic moment on the atom in μB.
Fractional positions:
O: 0.609 0.321 0.642  -0.12
Pu: 0.000 0.500 0.000  2.82
O: 0.391 0.679 0.358  -0.12
Mn: 0.158 0.259 0.518  4.49
Mn: 0.842 0.741 0.482  4.49
O: 0.841 0.336 0.194  -0.12
Cu: 0.500 0.000 0.000  -0.50
O: 0.841 0.858 0.194  -0.12
O: 0.159 0.142 0.806  -0.12
O: 0.159 0.664 0.806  -0.12



(2)
Computed, not measured: PuMnCuO6 after structural relaxation at the GGA+U level of DFT.

Values from the calculation:
As for the symmetry: P-31c, No. 163. As for the uncorrected energy: -7.764 eV/atom.

a = 5.210 Å, b = 5.210 Å, c = 8.931 Å
α = 90.00°, β = 90.00°, γ = 120.00°
Last column: magnetic moment on the atom in μB.
Fractional positions:
Pu: 0.667 0.333 0.750  2.07
O: 0.340 0.988 0.632  -0.16
O: 0.988 0.649 0.368  -0.16
Pu: 0.333 0.667 0.250  2.07
O: 0.660 0.012 0.368  -0.16
Cu: 0.000 0.000 0.500  -0.47
Mn: 0.333 0.667 0.750  3.38
Cu: 0.000 0.000 0.000  -0.47
O: 0.012 0.351 0.632  -0.16
O: 0.351 0.012 0.132  -0.16
O: 0.988 0.340 0.132  -0.16
O: 0.660 0.649 0.132  -0.16
O: 0.351 0.340 0.368  -0.16
O: 0.649 0.988 0.868  -0.16
O: 0.340 0.351 0.868  -0.16
O: 0.649 0.660 0.632  -0.16
Mn: 0.667 0.333 0.250  3.38
O: 0.012 0.660 0.868  -0.16



(3)
Computed, not measured: PuMnCuO5 after structural relaxation at the GGA+U level of DFT.

Values from the calculation:
As for the symmetry: C2/c, No. 15. As for the uncorrected energy: -8.074 eV/atom.

a = 5.750 Å, b = 5.750 Å, c = 7.858 Å
α = 103.78°, β = 103.78°, γ = 112.24°
Last column: magnetic moment on the atom in μB.
Fractional positions:
Mn: 0.330 0.670 0.250  4.48
Cu: 0.691 0.309 0.250  -0.40
O: 0.274 0.370 0.568  -0.13
Cu: 0.309 0.691 0.750  -0.40
Mn: 0.670 0.330 0.750  4.48
Pu: 0.000 0.000 0.000  2.41
O: 0.027 0.669 0.847  -0.14
O: 0.726 0.630 0.432  -0.13
O: 0.889 0.111 0.750  -0.10
O: 0.973 0.331 0.153  -0.14
O: 0.630 0.726 0.932  -0.13
O: 0.331 0.973 0.653  -0.14
O: 0.111 0.889 0.250  -0.10
O: 0.370 0.274 0.068  -0.13
O: 0.669 0.027 0.347  -0.14
Pu: 0.000 0.000 0.500  2.41



(4)
Computed, not measured: Pu2MnCuO8 after structural relaxation at the GGA+U level of DFT.

Values from the calculation:
As for the symmetry: Cmmm, No. 65. As for the uncorrected energy: -8.724 eV/atom.

a = 4.684 Å, b = 4.684 Å, c = 6.931 Å
α = 90.01°, β = 89.99°, γ = 90.39°
Last column: magnetic moment on the atom in μB.
Fractional positions:
Cu: 0.000 0.000 0.000  -0.47
Pu: 0.500 0.500 0.752  2.59
O: 0.695 0.696 0.500  -0.13
O: 0.792 0.209 0.748  -0.15
O: 0.208 0.791 0.252  -0.15
O: 0.792 0.209 0.252  -0.15
Pu: 0.500 0.500 0.248  2.59
O: 0.305 0.304 0.500  -0.13
O: 0.699 0.700 0.000  -0.18
Mn: 0.000 0.000 0.500  4.41
O: 0.301 0.300 0.000  -0.18
O: 0.208 0.791 0.748  -0.15



(5)
Computed, not measured: Rb2MnCuO after structural relaxation at the GGA+U level of DFT.

Values from the calculation:
As for the symmetry: P4/mmm, No. 123. As for the uncorrected energy: -3.994 eV/atom.

a = 6.191 Å, b = 3.829 Å, c = 6.191 Å
α = 90.00°, β = 90.00°, γ = 90.00°
Last column: magnetic moment on the atom in μB.
Fractional positions:
Rb: 0.000 0.000 0.500  -0.02
Mn: 0.000 0.500 0.000  4.15
Cu: 0.500 0.500 0.500  0.00
O: 0.000 0.000 0.000  -0.01
Rb: 0.500 0.000 0.000  -0.01



(6)
Computed, not measured: RbMn2Cu2O6 after structural relaxation at the GGA+U level of DFT.

Values from the calculation:
As for the symmetry: P-1, No. 2. As for the uncorrected energy: -5.910 eV/atom.

a = 6.208 Å, b = 6.110 Å, c = 6.021 Å
α = 125.32°, β = 98.61°, γ = 64.58°
Last column: magnetic moment on the atom in μB.
Fractional positions:
Cu: 0.256 0.695 0.780  -0.57
O: 0.893 0.470 0.142  -0.20
Mn: 0.106 0.677 0.241  3.71
O: 0.573 0.581 0.804  -0.28
O: 0.947 0.099 0.360  -0.19
Rb: 0.500 0.000 0.500  0.01
O: 0.427 0.419 0.196  -0.28
O: 0.107 0.530 0.858  -0.20
O: 0.053 0.901 0.640  -0.19
Cu: 0.744 0.305 0.220  -0.57
Mn: 0.894 0.323 0.759  3.71



(7)
Computed, not measured: RbMnCuO2 after structural relaxation at the GGA+U level of DFT.

Values from the calculation:
As for the symmetry: P2/c, No. 13. As for the uncorrected energy: -5.658 eV/atom.

a = 4.802 Å, b = 6.348 Å, c = 6.057 Å
α = 102.80°, β = 90.00°, γ = 90.00°
Last column: magnetic moment on the atom in μB.
Fractional positions:
Mn: 0.487 0.000 0.250  4.54
Rb: 0.768 0.500 0.250  0.01
O: 0.301 0.813 0.462  0.06
Cu: 0.000 0.000 0.000  0.05
Rb: 0.232 0.500 0.750  0.01
O: 0.699 0.187 0.538  0.06
Mn: 0.513 0.000 0.750  4.54
Cu: 0.000 0.000 0.500  0.05
O: 0.699 0.813 0.962  0.06
O: 0.301 0.187 0.038  0.06



(8)
Computed, not measured: MnCuRh2O4 after structural relaxation at the GGA+U level of DFT.

Values from the calculation:
As for the symmetry: Fmm2, No. 42. As for the uncorrected energy: -6.245 eV/atom.

a = 4.466 Å, b = 4.466 Å, c = 5.778 Å
α = 113.13°, β = 113.13°, γ = 89.06°
Last column: magnetic moment on the atom in μB.
Fractional positions:
Rh: 0.252 0.752 0.503  -0.76
O: 0.184 0.184 0.778  -0.15
Cu: 0.568 0.568 0.135  -0.17
O: 0.312 0.896 0.208  -0.15
O: 0.594 0.594 0.778  -0.15
O: 0.896 0.312 0.208  -0.15
Mn: 0.944 0.944 0.887  4.11
Rh: 0.752 0.252 0.503  -0.76